[1]
Computed, not measured: a geometry-optimized La2Al4CuAg3 structure at the PBE level of DFT.

Calculated values
The symmetry is P-4m2 (115). The calculation puts the formation energy at -0.351 eV/atom.

POSCAR file:
```
La2Al4CuAg3
1.0
4.4404 0.0000 0.0000
0.0000 4.4404 0.0000
0.0000 0.0000 10.6917
La Al Cu Ag
2 4 1 3
Direct
0.0000 0.5000 0.2423
0.5000 0.0000 0.7577
0.0000 0.0000 0.5000
0.0000 0.5000 0.8765
0.5000 0.0000 0.1235
0.5000 0.5000 0.5000
0.5000 0.5000 0.0000
0.0000 0.0000 0.0000
0.0000 0.5000 0.6343
0.5000 0.0000 0.3657
```

[2]
Computed, not measured: a geometry-optimized LaAlCuAg structure at the PBE level of DFT.

Calculated values
The symmetry is F-43m (216). The calculation puts the formation energy at -0.227 eV/atom.

POSCAR file:
```
LaAlCuAg
1.0
6.9339 0.0000 0.0000
0.0000 6.9339 0.0000
0.0000 0.0000 6.9339
La Al Cu Ag
4 4 4 4
Direct
0.0000 0.0000 0.0000
0.0000 0.5000 0.5000
0.5000 0.0000 0.5000
0.5000 0.5000 0.0000
0.0000 0.0000 0.5000
0.0000 0.5000 0.0000
0.5000 0.0000 0.0000
0.5000 0.5000 0.5000
0.2500 0.2500 0.2500
0.2500 0.7500 0.7500
0.7500 0.2500 0.7500
0.7500 0.7500 0.2500
0.2500 0.2500 0.7500
0.2500 0.7500 0.2500
0.7500 0.2500 0.2500
0.7500 0.7500 0.7500
```

Uncorrected energy values, unit eV/cell, following the record order: -40.986; -66.099.
M_tot values, unit μB/cell, following the record order: 0.0; 0.0.